Pm5Ho4Tm3: relaxed, GGA-PBE.

Calculated volume in Å³/cell: 389.2
Energy in eV per atom: -4.364

a b c (Å): 6.8975 6.8975 10.8808
angles (deg): 95.59 95.59 49.14
With the nearest neighbours (Å) after each atom.
Atoms (fractional coordinates):
1 Pm 0.0000 0.0000 0.0000  2 Tm 2.87, 2 Ho 2.94
2 Pm 0.3550 0.3550 0.7330  1 Tm 3.26, 3 Ho 3.47-3.48, 2 Pm 3.57-3.64
3 Pm 0.4006 0.4006 0.4082  1 Pm 3.02, 3 Ho 3.22-3.36
4 Pm 0.5994 0.5994 0.5918  1 Pm 3.02, 3 Ho 3.22-3.36
5 Pm 0.6450 0.6450 0.2670  1 Tm 3.26, 3 Ho 3.47-3.48, 2 Pm 3.57-3.64
6 Ho 0.0805 0.0805 0.7556  1 Pm 2.94
7 Ho 0.1498 0.1498 0.4477  5 Pm 3.22-3.47, 2 Ho 3.45-3.55
8 Ho 0.8502 0.8502 0.5523  5 Pm 3.22-3.47, 2 Ho 3.45-3.55
9 Ho 0.9195 0.9195 0.2444  1 Pm 2.94
10 Tm 0.2560 0.2560 0.1064  2 Pm 3.30-3.58, 3 Tm 3.39-3.68
11 Tm 0.5000 0.5000 0.0000  2 Pm 2.87
12 Tm 0.7440 0.7440 0.8936  2 Pm 3.30-3.58, 3 Tm 3.39-3.68